## SmGaCu3 (PBE-GGA)

Data for SmGaCu3 after structural relaxation.

The density comes out at 7.6 g cm⁻³. Its crystal system is orthorhombic. The density of states at the Fermi level is 10.78 states/eV per cell. The value obtained for the total energy is -4.219 eV/atom. The calculation puts the energy relative to the lowest polymorph listed for this composition at 0.000 eV/atom.

It has space group Imma (No. 74), with a = 4.974 Å, b = 8.455 Å, c = 8.507 Å, α = 90.00°, β = 90.00° and γ = 90.00°. The distinct sites, in fractional coordinates, are Sm at (0.000, 0.250, 0.037), Ga at (0.000, 0.000, 0.500), Cu at (0.000, 0.250, 0.673) and Cu at (0.250, 0.006, 0.750).

## Ge2BRuF (PBE-GGA)

Data for Ge2BRuF after structural relaxation.

The density comes out at 4.9 g cm⁻³. Its crystal system is tetragonal. For the raw formation energy, the calculation gives 326.7 kJ/mol of formula units. The density of states at the Fermi level is 2.95 states/eV per cell. The value obtained for the total energy is -4.735 eV/atom.

It has space group P4/mmm (No. 123), with a = 4.798 Å, b = 4.798 Å, c = 4.065 Å, α = 90.00°, β = 90.00° and γ = 90.00°. The distinct sites, in fractional coordinates, are Ge at (0.000, 0.500, 0.000), B at (0.000, 0.000, 0.500), Ru at (0.500, 0.500, 0.000) and F at (0.500, 0.500, 0.500).